Here is a relaxed NiHgRh2 crystal from Alexandria. Energies are from PBE.

The density of states at the Fermi level comes out at 6.27 states/eV per cell. As for the uncorrected energy: -19.733 eV/cell. As for the energy of formation from the pure elements: 0.2631 eV per atom.

abc: 8.9275 8.9275 8.9275
angles: 18.25 18.25 18.25
Element x y z (fractional)
Hg: 0.4965 0.4965 0.4965
Ni: 0.7446 0.7446 0.7446
Rh: 0.0032 0.0032 0.0032
Rh: 0.2557 0.2557 0.2557